Record 1
Compound: RbMg6Co
Source: the Alexandria database
Functional: PBE
Structure: relaxed

Results
**Distance to the lowest polymorph of the same formula**: 26 meV/atom
**SG**: No. 38
**Size of the total moment**: 0.7 μB/f.u.

Structure (POSCAR):
```
RbMg6Co
1.0
-5.264 7.337 2.939
0.768 -9.463 0.199
2.598 0.293 3.921
Rb Mg Co
1 6 1
Direct
0.272 0.728 0.500
0.633 0.367 0.000
0.313 0.157 0.500
0.720 0.777 0.000
0.907 0.093 0.500
0.843 0.687 0.500
0.223 0.280 0.000
0.091 0.909 0.000
```

---

Record 2
Compound: LiCeGe2
Source: the Alexandria database
Functional: PBE
Structure: relaxed

Results
**Distance to the lowest polymorph of the same formula**: 150 meV/atom
**SG**: No. 225
**Size of the total moment**: 0.2 μB/f.u.

Structure (POSCAR):
```
LiCeGe2
1.0
-3.569 3.309 0.225
-4.611 -1.431 0.653
-2.246 0.876 4.234
Li Ge Ce
1 2 1
Direct
0.500 0.500 0.500
0.250 0.250 0.250
0.750 0.750 0.750
0.000 0.000 0.000
```

---

Record 3
Compound: RbTiAgS3
Source: the Alexandria database
Functional: PBE
Structure: relaxed

Results
**E_form (uncorrected)**: -0.773 eV/atom
**SG**: No. 12
**Size of the total moment**: 0.0 μB/f.u.

Structure (POSCAR):
```
RbTiAgS3
1.0
6.762 -0.823 -0.121
2.442 6.360 -0.121
2.407 1.448 7.653
S Ag Rb Ti
6 2 2 2
Direct
0.801 0.242 0.199
0.758 0.199 0.801
0.199 0.758 0.801
0.242 0.801 0.199
0.698 0.698 0.421
0.302 0.302 0.579
0.730 0.270 0.500
0.270 0.730 0.500
0.306 0.306 0.131
0.694 0.694 0.869
0.914 0.914 0.327
0.086 0.086 0.673
```

---

Record 4
Compound: Ho7Sb2Ir2
Source: the Alexandria database
Functional: PBE
Structure: relaxed

Results
**E_form (uncorrected)**: -0.792 eV/atom
**Distance to the lowest polymorph of the same formula**: 0 meV/atom
**SG**: No. 44
**Size of the total moment**: 1.2 μB/f.u.

Structure (POSCAR):
```
Ho7Sb2Ir2
1.0
3.931 0.000 0.843
1.048 7.997 4.701
0.054 0.061 9.335
Ho Ir Sb
7 2 2
Direct
0.627 0.481 0.266
0.186 0.710 0.917
0.147 0.116 0.590
0.814 0.083 0.290
0.500 0.019 0.981
0.853 0.410 0.884
0.373 0.734 0.519
0.259 0.332 0.150
0.741 0.850 0.668
0.000 0.766 0.234
0.500 0.352 0.648
```

---

Record 5
Compound: RbTaCd
Source: the Alexandria database
Functional: PBE
Structure: relaxed

Results
**Distance to the lowest polymorph of the same formula**: 135 meV/atom
**SG**: No. 6
**Size of the total moment**: 0.0 μB/f.u.

Structure (POSCAR):
```
RbTaCd
1.0
-0.392 2.925 1.437
-4.892 -0.556 -0.205
0.160 -5.726 11.732
Cd Ta Rb
2 2 2
Direct
0.559 0.000 0.704
0.059 0.000 0.910
0.559 0.500 0.857
0.059 0.500 0.700
0.557 0.500 0.123
0.064 0.000 0.454
```

---

Record 6
Compound: SiSnHgMo2
Source: the Alexandria database
Functional: PBE
Structure: relaxed

Results
**E_form (uncorrected)**: 0.982 eV/atom
**SG**: No. 123
**Size of the total moment**: 2.1 μB/f.u.

Structure (POSCAR):
```
SiSnHgMo2
1.0
-0.292 4.028 2.386
-3.487 1.408 -2.804
-3.165 -1.974 2.945
Mo Si Hg Sn
2 1 1 1
Direct
0.000 0.500 0.000
0.500 0.000 0.000
0.000 0.000 0.000
0.000 0.000 0.500
0.500 0.500 0.500
```